BC: optimized geometry, GGA-PBE.

Properties
SG	P-4m2 (115)
ΔE_f	322.7	meV per atom
magnetization	0.00	μB per formula unit
distance to the lowest polymorph of the same formula	0.34	eV/f.u.
crystal system	tetragonal
volume	6.61	A^3/atom

abc: 2.463 2.463 8.715
angles: 90.00 90.00 90.00
Fractional positions:
1 B 0.500 0.500 0.224
2 B 0.500 0.000 0.375
3 B 0.500 0.000 0.875
4 B 0.000 0.000 0.526
5 C 0.000 0.000 0.002
6 C 0.000 0.500 0.653
7 C 0.000 0.500 0.097
8 C 0.500 0.500 0.748



B7C5: optimized geometry, GGA-PBE.

Properties
SG	C2 (5)
ΔE_f	361.6	meV per atom
magnetization	0.00	μB per formula unit
distance to the lowest polymorph of the same formula	2.37	eV/f.u.
crystal system	monoclinic
volume	6.97	A^3/atom

abc: 4.558 4.558 5.293
angles: 108.05 108.05 54.22
Fractional positions:
1 C 0.647 0.667 0.846
2 C 0.666 0.686 0.320
3 C 0.890 0.444 0.083
4 C 0.585 0.047 0.931
5 C 0.287 0.748 0.236
6 B 0.933 0.067 0.071
7 B 0.297 0.650 0.676
8 B 0.266 0.400 0.096
9 B 0.851 0.482 0.583
10 B 0.323 0.262 0.675
11 B 0.071 0.010 0.491
12 B 0.684 0.037 0.490